[1]
DFT (PBE) results for a relaxed structure of LiNi2I6.

Unit cell a=3.9689 b=7.5296 c=11.5518 alpha=117.01 beta=90.00 gamma=105.28
Last column: magnetic moment on the atom in μB.
Element x y z (fractional)
1 Li 0.0000 0.0000 0.5000  0.00
2 Ni 0.6654 0.3308 0.8344  0.98
3 Ni 0.3346 0.6692 0.1656  0.98
4 I 0.0204 0.0407 0.7633  0.15
5 I 0.6868 0.3735 0.0775  0.20
6 I 0.3132 0.6265 0.9225  0.20
7 I 0.6665 0.3329 0.6063  0.06
8 I 0.3335 0.6671 0.3937  0.06
9 I 0.9796 0.9593 0.2367  0.15

Properties
SG   C2/m
Formation energy from raw total energies   -0.297 eV/atom

[2]
DFT (PBE) results for a relaxed structure of Cu2SiPt.

Unit cell a=4.5375 b=4.5375 c=2.8346 alpha=90.00 beta=90.00 gamma=113.44
Element x y z (fractional)
1 Cu 0.0000 0.0000 0.0000
2 Cu 0.5000 0.5000 0.0000
3 Pt 0.5000 0.0000 0.5000
4 Si 0.0000 0.5000 0.5000

Properties
SG   Cmmm
Formation energy from raw total energies   -0.175 eV/atom

[3]
DFT (PBE) results for a relaxed structure of TiGaPd6.

Unit cell a=3.9331 b=3.9331 c=7.8141 alpha=90.00 beta=90.00 gamma=90.00
Element x y z (fractional)
1 Ti 0.0000 0.0000 0.5000
2 Ga 0.0000 0.0000 0.0000
3 Pd 0.5000 0.5000 0.0000
4 Pd 0.5000 0.5000 0.5000
5 Pd 0.5000 0.0000 0.2527
6 Pd 0.5000 0.0000 0.7473
7 Pd 0.0000 0.5000 0.2527
8 Pd 0.0000 0.5000 0.7473

Properties
SG   P4/mmm
Energy above the lowest structure with this stoichiometry   0.000 eV per atom

| no. | mass density (g/cm³) | calculated total energy (Ry/atom) |
| --- | --- | --- |
| 1 | 5.01 | -0.208 |
| 2 | 10.86 | -0.374 |
| 3 | 10.39 | -0.429 |